(1)
{
  "formula": "BeTlBi2Ir",
  "functional": "PBE-GGA",
  "state": "relaxed",
  "cell": [[-3.2497, -3.8306, -2.1817], [3.1685, -1.1140, -2.7636], [1.8751, -3.6541, 3.6228]],
  "species": ["Tl", "Ir", "Bi", "Bi", "Be"],
  "fractional_positions": [[0.5000, 0.5000, 0.5000], [0.0000, 0.0000, 0.0000], [0.5000, 0.0000, 0.0000], [0.0000, 0.0000, 0.5000], [0.0000, 0.5000, 0.0000]],
  "dft_energy_ev_per_cell": -21.0,
  "formation_enthalpy_0k_kj_per_mol_fu": 164,
  "dos_ef_per_ev_atom": 0.814
}

=====

(2)
{
  "formula": "Tb2Pr4NdSm",
  "functional": "PBE-GGA",
  "state": "relaxed",
  "cell": [[-3.1352, 1.2942, 1.4143], [-3.1426, -4.9276, -2.4571], [0.8695, -7.8809, 9.1392]],
  "species": ["Tb", "Tb", "Nd", "Sm", "Pr", "Pr", "Pr", "Pr"],
  "fractional_positions": [[0.5000, 0.0000, 0.5000], [0.0000, 0.0000, 0.0000], [0.5000, 0.5000, 0.0000], [0.0000, 0.5000, 0.5000], [0.0000, 0.2495, 0.2518], [0.5000, 0.2483, 0.7502], [0.5000, 0.7517, 0.2498], [0.0000, 0.7505, 0.7482]],
  "dft_energy_ev_per_cell": -37.8,
  "formation_enthalpy_0k_kj_per_mol_fu": 11,
  "dos_ef_per_ev_atom": 1.470
}

=====

(3)
{
  "formula": "Ba2ScInO",
  "functional": "PBE-GGA",
  "state": "relaxed",
  "cell": [[-5.5526, 0.8588, -2.1674], [-2.2851, -0.8960, 5.4992], [0.3166, 4.0409, 0.7899]],
  "species": ["Ba", "Ba", "O", "Sc", "In"],
  "fractional_positions": [[0.0000, 0.5000, 0.0000], [0.5000, 0.0000, 0.0000], [0.0000, 0.0000, 0.0000], [0.0000, 0.0000, 0.5000], [0.5000, 0.5000, 0.5000]],
  "dft_energy_ev_per_cell": -23.9,
  "formation_energy_uncorrected_ev_per_atom": -1.205,
  "dos_ef_per_ev_atom": 0.716
}

=====

(4)
{
  "formula": "Be2AlGa2",
  "functional": "PBE-GGA",
  "state": "relaxed",
  "cell": [[-4.1970, -5.0416, -1.0754], [4.9302, -3.5206, -2.7364], [0.7186, -1.2052, 2.8454]],
  "species": ["Al", "Al", "Be", "Be", "Be", "Be", "Ga", "Ga", "Ga", "Ga"],
  "fractional_positions": [[0.0000, 0.0000, 0.0000], [0.5000, 0.5000, 0.0000], [0.6151, 0.1151, 0.0000], [0.3849, 0.8849, 0.0000], [0.1151, 0.3849, 0.0000], [0.8849, 0.6151, 0.0000], [0.8203, 0.3203, 0.5000], [0.1797, 0.6797, 0.5000], [0.3203, 0.1797, 0.5000], [0.6797, 0.8203, 0.5000]],
  "dft_energy_ev_per_cell": -31.7,
  "formation_enthalpy_0k_kj_per_mol_fu": 135,
  "dos_ef_per_ev_atom": 0.343
}

=====

(5)
{
  "formula": "TiBN2F",
  "functional": "PBE-GGA",
  "state": "relaxed",
  "cell": [[-0.0842, 3.3652, 0.6615], [-2.3837, -0.5332, 2.4089], [2.3691, -0.3848, 2.2592]],
  "species": ["F", "B", "N", "N", "Ti"],
  "fractional_positions": [[0.0000, 0.0000, 0.5000], [0.0000, 0.0000, 0.0000], [0.5000, 0.0000, 0.0000], [0.0000, 0.5000, 0.0000], [0.5000, 0.5000, 0.5000]],
  "dft_energy_ev_per_cell": -34.6,
  "formation_energy_uncorrected_ev_per_atom": -0.302,
  "dos_ef_per_ev_atom": 0.260
}

=====

(6)
{
  "formula": "Ac2Nd3Sm",
  "functional": "PBE-GGA",
  "state": "relaxed",
  "cell": [[5.2306, 0.0004, -1.1695], [-0.6838, 11.4851, -3.0535], [-0.9012, -1.5681, 8.2502]],
  "species": ["Nd", "Nd", "Nd", "Nd", "Nd", "Nd", "Sm", "Sm", "Ac", "Ac", "Ac", "Ac"],
  "fractional_positions": [[0.2901, 0.6195, 0.5802], [0.9537, 0.6166, 0.9074], [0.6241, 0.6187, 0.2482], [0.7099, 0.3805, 0.4198], [0.0463, 0.3834, 0.0926], [0.3759, 0.3813, 0.7518], [0.8733, 0.8686, 0.7466], [0.1267, 0.1314, 0.2534], [0.2085, 0.8678, 0.4170], [0.5360, 0.8675, 0.0719], [0.7915, 0.1322, 0.5830], [0.4640, 0.1325, 0.9281]],
  "dft_energy_ev_per_cell": -54.1,
  "formation_enthalpy_0k_kj_per_mol_fu": 18,
  "dos_ef_per_ev_atom": 1.609
}

=====

(7)
{
  "formula": "La4AlGeO",
  "functional": "PBE-GGA",
  "state": "relaxed",
  "cell": [[6.8579, 0.0000, 0.0000], [0.0000, 6.8505, 0.0000], [-3.4289, 0.0000, 8.3154]],
  "species": ["Al", "Al", "La", "La", "La", "La", "La", "La", "La", "La", "O", "O", "Ge", "Ge"],
  "fractional_positions": [[0.3866, 0.2500, 0.7731], [0.6134, 0.7500, 0.2269], [0.0000, 0.5000, 0.5000], [0.0000, 0.0000, 0.5000], [0.5000, 0.5000, 0.5000], [0.0703, 0.7500, 0.1405], [0.5751, 0.2500, 0.1502], [0.5000, 0.0000, 0.5000], [0.9297, 0.2500, 0.8595], [0.4249, 0.7500, 0.8498], [0.7535, 0.2500, 0.5070], [0.2465, 0.7500, 0.4930], [0.8844, 0.7500, 0.7689], [0.1156, 0.2500, 0.2311]],
  "dft_energy_ev_per_cell": -81.8,
  "formation_energy_uncorrected_ev_per_atom": -1.124,
  "dos_ef_per_ev_atom": 0.921
}

=====

(8)
{
  "formula": "Cu6Pd2Pt",
  "functional": "PBE-GGA",
  "state": "relaxed",
  "cell": [[3.7993, 0.0000, 0.0000], [-1.8996, 4.0473, 1.1043], [0.0000, 0.5319, 7.8991]],
  "species": ["Cu", "Cu", "Cu", "Cu", "Cu", "Cu", "Pd", "Pd", "Pt"],
  "fractional_positions": [[0.6665, 0.3330, 0.6073], [0.3351, 0.6701, 0.7196], [0.6649, 0.3299, 0.2804], [0.0029, 0.0059, 0.8296], [0.9971, 0.9941, 0.1704], [0.3335, 0.6670, 0.3927], [0.6687, 0.3373, 0.9355], [0.3313, 0.6627, 0.0645], [0.0000, 0.0000, 0.5000]],
  "dft_energy_ev_per_cell": -42.0,
  "formation_enthalpy_0k_kj_per_mol_fu": -99,
  "dos_ef_per_ev_atom": 0.339
}

=====

(9)
{
  "formula": "CoNiRu",
  "functional": "PBE-GGA",
  "state": "relaxed",
  "cell": [[4.3915, 0.0067, -0.0045], [2.1571, 3.8253, 0.0045], [-2.9251, -2.5128, 2.1013]],
  "species": ["Co", "Ni", "Ru"],
  "fractional_positions": [[0.9986, 0.9986, 0.0000], [0.6664, 0.6664, 0.0000], [0.3350, 0.3350, 0.0000]],
  "dft_energy_ev_per_cell": -21.8,
  "formation_enthalpy_0k_kj_per_mol_fu": 36,
  "dos_ef_per_ev_atom": 1.296
}

=====

(10)
{
  "formula": "TlCdTc4",
  "functional": "PBE-GGA",
  "state": "relaxed",
  "cell": [[0.0000, 3.7348, 3.7348], [3.7348, 0.0000, 3.7348], [3.7348, 3.7348, 0.0000]],
  "species": ["Tc", "Tc", "Tc", "Tc", "Tl", "Cd"],
  "fractional_positions": [[0.8755, 0.3748, 0.3748], [0.3748, 0.8755, 0.3748], [0.3748, 0.3748, 0.3748], [0.3748, 0.3748, 0.8755], [0.7500, 0.7500, 0.7500], [0.0000, 0.0000, 0.0000]],
  "dft_energy_ev_per_cell": -41.2,
  "formation_enthalpy_0k_kj_per_mol_fu": 339,
  "dos_ef_per_ev_atom": 1.097
}

=====

(11)
{
  "formula": "TbThAl2Zn2",
  "functional": "PBE-GGA",
  "state": "relaxed",
  "cell": [[4.4882, 0.0000, 0.0000], [-2.2441, 3.8869, 0.0000], [0.0000, 0.0000, 7.4719]],
  "species": ["Tb", "Al", "Al", "Zn", "Zn", "Th"],
  "fractional_positions": [[0.0000, 0.0000, 0.5000], [0.6667, 0.3333, 0.2618], [0.3333, 0.6667, 0.7382], [0.6667, 0.3333, 0.7324], [0.3333, 0.6667, 0.2676], [0.0000, 0.0000, 0.0000]],
  "dft_energy_ev_per_cell": -24.6,
  "formation_enthalpy_0k_kj_per_mol_fu": -240,
  "dos_ef_per_ev_atom": 0.666
}

=====

(12)
{
  "formula": "LaTlO2",
  "functional": "PBE-GGA",
  "state": "relaxed",
  "cell": [[0.0000, 3.1910, 3.1910], [3.1910, 0.0000, 3.1910], [3.1910, 3.1910, 0.0000]],
  "species": ["La", "Tl", "O", "O"],
  "fractional_positions": [[0.0000, 0.0000, 0.0000], [0.5000, 0.5000, 0.5000], [0.7500, 0.7500, 0.7500], [0.2500, 0.2500, 0.2500]],
  "dft_energy_ev_per_cell": -24.2,
  "formation_energy_uncorrected_ev_per_atom": -1.760,
  "dos_ef_per_ev_atom": 0.000
}

=====

(13)
{
  "formula": "Sr3SbAs",
  "functional": "PBE-GGA",
  "state": "relaxed",
  "cell": [[-0.1775, 3.4558, -4.5143], [-4.5193, -5.2959, -3.8764], [-4.7545, 6.3547, 5.0515]],
  "species": ["Sr", "Sr", "Sr", "Sr", "Sr", "Sr", "As", "As", "Sb", "Sb"],
  "fractional_positions": [[0.0000, 0.1546, 0.3091], [0.5000, 0.0000, 0.5000], [0.0000, 0.8454, 0.6909], [0.5000, 0.2784, 0.0000], [0.5000, 0.5000, 0.5000], [0.5000, 0.7216, 0.0000], [0.5000, 0.8849, 0.7699], [0.5000, 0.1151, 0.2301], [0.0000, 0.3541, 0.7082], [0.0000, 0.6459, 0.2918]],
  "dft_energy_ev_per_cell": -36.6,
  "formation_energy_uncorrected_ev_per_atom": -0.892
}

=====

(14)
{
  "formula": "Ag5Hg3",
  "functional": "PBE-GGA",
  "state": "relaxed",
  "cell": [[7.8787, 0.1270, 0.2270], [-6.0281, 5.0642, 0.2232], [-0.6825, -1.9206, 7.8717]],
  "species": ["Ag", "Ag", "Ag", "Ag", "Ag", "Ag", "Ag", "Ag", "Ag", "Ag", "Hg", "Hg", "Hg", "Hg", "Hg", "Hg"],
  "fractional_positions": [[0.7353, 0.9077, 0.6782], [0.9900, 0.2922, 0.1628], [0.2650, 0.0912, 0.3236], [0.4092, 0.2376, 0.6789], [0.5897, 0.7627, 0.3229], [0.7927, 0.4907, 0.1629], [0.2675, 0.7676, 0.5469], [0.0117, 0.7102, 0.8376], [0.2097, 0.5110, 0.8374], [0.7326, 0.2325, 0.4537], [0.8310, 0.6688, 0.5002], [0.1674, 0.3296, 0.4999], [0.3527, 0.8525, 0.1389], [0.2750, 0.2269, 0.0017], [0.6503, 0.1504, 0.8601], [0.7269, 0.7750, 0.0009]],
  "dft_energy_ev_per_cell": -28.6,
  "formation_enthalpy_0k_kj_per_mol_fu": 85,
  "dos_ef_per_ev_atom": 0.236
}

=====

(15)
{
  "formula": "Mn2AlSb",
  "functional": "PBE-GGA",
  "state": "relaxed",
  "cell": [[-1.8395, 0.6766, -2.2316], [1.3159, -2.0440, -1.7065], [-4.8466, -5.1516, 2.4331]],
  "species": ["Al", "Mn", "Mn", "Sb"],
  "fractional_positions": [[0.5000, 0.5000, 0.7500], [0.0000, 0.0000, 0.5337], [0.0000, 0.0000, 0.9663], [0.5000, 0.5000, 0.2500]],
  "dft_energy_ev_per_cell": -25.6,
  "formation_energy_uncorrected_ev_per_atom": 0.154,
  "dos_ef_per_ev_atom": 0.457
}

=====

(16)
{
  "formula": "Th6P2RhS3",
  "functional": "PBE-GGA",
  "state": "relaxed",
  "cell": [[-2.4848, -2.7102, -1.7411], [1.9638, -5.5425, 5.8245], [-5.8239, 5.5375, 4.4450]],
  "species": ["S", "S", "S", "Th", "Th", "Th", "Th", "Th", "Th", "Rh", "P", "P"],
  "fractional_positions": [[0.1663, 0.8328, 0.3326], [0.8337, 0.1672, 0.6674], [0.5000, 0.5000, 0.0000], [0.3329, 0.4180, 0.6658], [0.6671, 0.5820, 0.3342], [0.9988, 0.7569, 0.9977], [0.3323, 0.9145, 0.6647], [0.0012, 0.2431, 0.0023], [0.6677, 0.0855, 0.3353], [0.5000, 0.0000, 0.0000], [0.1673, 0.3340, 0.3347], [0.8327, 0.6660, 0.6653]],
  "dft_energy_ev_per_cell": -93.8,
  "formation_energy_uncorrected_ev_per_atom": -1.559,
  "dos_ef_per_ev_atom": 0.825
}

=====

(17)
{
  "formula": "LaSmPu2Bi4",
  "functional": "PBE-GGA",
  "state": "relaxed",
  "cell": [[-5.4623, -3.4777, -0.5200], [0.5172, 0.1561, -6.4737], [5.9469, -3.8180, 3.6424]],
  "species": ["Bi", "Bi", "Bi", "Bi", "Pu", "Pu", "La", "Sm"],
  "fractional_positions": [[0.1902, 0.1902, 0.5060], [0.6842, 0.6842, 0.4940], [0.9371, 0.4371, 0.0000], [0.4371, 0.9371, 0.0000], [0.6872, 0.1872, 0.5000], [0.1872, 0.6872, 0.5000], [0.9371, 0.9371, 0.0000], [0.4371, 0.4371, 0.0000]],
  "dft_energy_ev_per_cell": -58.9,
  "formation_enthalpy_0k_kj_per_mol_fu": -491,
  "dos_ef_per_ev_atom": 4.192
}

=====

(18)
{
  "formula": "Y3AgPb",
  "functional": "PBE-GGA",
  "state": "relaxed",
  "cell": [[-3.7951, -2.8239, 2.7997], [1.5289, -4.6089, -2.5761], [3.6709, -0.9999, 3.9675]],
  "species": ["Y", "Y", "Y", "Ag", "Pb"],
  "fractional_positions": [[0.0000, 0.0000, 0.5000], [0.5000, 0.0000, 0.0000], [0.0000, 0.5000, 0.0000], [0.0000, 0.0000, 0.0000], [0.5000, 0.5000, 0.5000]],
  "dft_energy_ev_per_cell": -25.7,
  "formation_enthalpy_0k_kj_per_mol_fu": 25,
  "dos_ef_per_ev_atom": 1.329
}

=====

(19)
{
  "formula": "Dy3Hg",
  "functional": "PBE-GGA",
  "state": "relaxed",
  "cell": [[3.7896, 0.0000, 0.0000], [0.0000, 5.3307, 0.0000], [-1.8948, -2.6653, 5.6906]],
  "species": ["Hg", "Dy", "Dy", "Dy"],
  "fractional_positions": [[0.0000, 0.9158, 0.0000], [0.2797, 0.6969, 0.5594], [0.7203, 0.1375, 0.4406], [0.5000, 0.4165, 0.0000]],
  "dft_energy_ev_per_cell": -15.0,
  "formation_enthalpy_0k_kj_per_mol_fu": -89,
  "dos_ef_per_ev_atom": 0.881
}

=====

(20)
{
  "formula": "Cd2SnBr6",
  "functional": "PBE-GGA",
  "state": "relaxed",
  "cell": [[-1.0393, 6.6110, -3.3958], [3.2234, -2.4349, -8.6511], [-8.6418, -1.7403, -3.6675]],
  "species": ["Br", "Br", "Br", "Br", "Br", "Br", "Br", "Br", "Br", "Br", "Br", "Br", "Cd", "Cd", "Cd", "Cd", "Sn", "Sn"],
  "fractional_positions": [[0.1376, 0.4600, 0.2867], [0.6295, 0.9702, 0.7914], [0.8705, 0.2086, 0.0298], [0.6376, 0.2867, 0.4600], [0.8749, 0.8677, 0.3788], [0.3705, 0.0298, 0.2086], [0.6251, 0.6212, 0.1323], [0.1295, 0.7914, 0.9702], [0.8624, 0.5400, 0.7133], [0.1251, 0.1323, 0.6212], [0.3749, 0.3788, 0.8677], [0.3624, 0.7133, 0.5400], [0.1720, 0.6074, 0.7709], [0.6720, 0.7709, 0.6074], [0.8280, 0.3926, 0.2291], [0.3280, 0.2291, 0.3926], [0.7500, 0.8900, 0.1100], [0.2500, 0.1100, 0.8900]],
  "dft_energy_ev_per_cell": -46.1,
  "formation_energy_uncorrected_ev_per_atom": -0.797,
  "dos_ef_per_ev_atom": 0.000
}

=====

(21)
{
  "formula": "Rb3Th3CdSe8",
  "functional": "PBE-GGA",
  "state": "relaxed",
  "cell": [[-2.2112, 1.9593, 8.1054], [5.9735, -6.0385, -1.5019], [2.5422, 9.0471, -1.4934]],
  "species": ["Rb", "Rb", "Rb", "Se", "Se", "Se", "Se", "Se", "Se", "Se", "Se", "Cd", "Th", "Th", "Th"],
  "fractional_positions": [[0.0000, 0.0000, 0.0000], [0.5000, 0.5000, 0.0000], [0.0000, 0.5000, 0.0000], [0.7350, 0.4700, 0.7047], [0.7661, 0.0412, 0.3073], [0.2339, 0.9588, 0.6928], [0.7250, 0.9588, 0.6928], [0.2650, 0.5300, 0.2953], [0.2750, 0.0412, 0.3073], [0.2334, 0.4669, 0.6923], [0.7666, 0.5331, 0.3077], [0.0000, 0.0000, 0.5000], [0.5000, 0.5000, 0.5000], [0.0000, 0.5000, 0.5000], [0.5000, 0.0000, 0.5000]],
  "dft_energy_ev_per_cell": -75.5,
  "formation_energy_uncorrected_ev_per_atom": -1.440,
  "dos_ef_per_ev_atom": 0.368
}

=====

(22)
{
  "formula": "La2MnW",
  "functional": "PBE-GGA",
  "state": "relaxed",
  "cell": [[6.4138, 0.0978, -0.0327], [3.4313, 5.4197, 0.0327], [-4.3963, -3.6978, 2.8543]],
  "species": ["La", "La", "Mn", "W"],
  "fractional_positions": [[0.0149, 0.0149, 0.0000], [0.7306, 0.2306, 0.5000], [0.4461, 0.4461, 0.0000], [0.3085, 0.8085, 0.5000]],
  "dft_energy_ev_per_cell": -30.3,
  "formation_enthalpy_0k_kj_per_mol_fu": 163,
  "dos_ef_per_ev_atom": 1.285
}

=====

(23)
{
  "formula": "AlRu2W",
  "functional": "PBE-GGA",
  "state": "relaxed",
  "cell": [[-2.9408, -2.3482, 1.4681], [1.8510, -1.2576, 1.6962], [0.8779, 2.2643, 5.3803]],
  "species": ["W", "Ru", "Ru", "Al"],
  "fractional_positions": [[0.0000, 0.5097, 0.4907], [0.5000, 0.2263, 0.2733], [0.0000, 0.0379, 0.9622], [0.5000, 0.7261, 0.7737]],
  "dft_energy_ev_per_cell": -36.0,
  "formation_enthalpy_0k_kj_per_mol_fu": -69,
  "dos_ef_per_ev_atom": 0.541
}

=====

(24)
{
  "formula": "TbTa2Os2",
  "functional": "PBE-GGA",
  "state": "relaxed",
  "cell": [[4.3754, 0.0000, 0.0000], [0.0000, 4.3754, 0.0000], [-2.1877, -2.1877, 5.3820]],
  "species": ["Ta", "Ta", "Os", "Os", "Tb"],
  "fractional_positions": [[0.2500, 0.7500, 0.5000], [0.7500, 0.2500, 0.5000], [0.3818, 0.3818, 0.7636], [0.6182, 0.6182, 0.2364], [0.0000, 0.0000, 0.0000]],
  "dft_energy_ev_per_cell": -52.4,
  "formation_enthalpy_0k_kj_per_mol_fu": -153,
  "dos_ef_per_ev_atom": 0.614
}

=====

(25)
{
  "formula": "AlFe2Sb",
  "functional": "PBE-GGA",
  "state": "relaxed",
  "cell": [[8.0620, -0.0109, -0.0064], [7.5089, 2.9348, -0.0064], [7.5089, 1.4100, 2.5739]],
  "species": ["Sb", "Al", "Fe", "Fe"],
  "fractional_positions": [[0.2500, 0.2500, 0.2500], [0.7500, 0.7500, 0.7500], [0.4978, 0.4978, 0.4978], [0.0022, 0.0022, 0.0022]],
  "dft_energy_ev_per_cell": -23.7,
  "formation_energy_uncorrected_ev_per_atom": 0.268,
  "dos_ef_per_ev_atom": 0.882
}